KLiS2N after structural relaxation. Source: Alexandria, functional PBE-GGA.

a b c (Å): 5.777 5.777 5.144
angles (deg): 90.00 90.00 90.00
Fractional coordinates of all 5 atoms:
K 0.000 0.000 0.000
Li 0.500 0.500 0.500
S 0.000 0.500 0.000
S 0.500 0.000 0.000
N 0.000 0.000 0.500

## Properties
Space group: No. 123
Formation energy (no corrections), kJ/mol of formula units: 581

=====

Ce2Pa2Te7 after structural relaxation. Source: Alexandria, functional PBE-GGA.

a b c (Å): 7.437 7.578 7.437
angles (deg): 90.00 97.04 90.00
Fractional coordinates of all 11 atoms:
Ce 0.742 0.500 0.742
Ce 0.258 0.500 0.258
Pa 0.730 0.000 0.270
Pa 0.270 0.000 0.730
Te 0.000 0.260 0.500
Te 0.500 0.740 0.000
Te 0.000 0.740 0.500
Te 0.500 0.260 0.000
Te 0.000 0.000 0.000
Te 0.500 0.762 0.500
Te 0.500 0.238 0.500

## Properties
Space group: No. 65
Formation energy (no corrections), kJ/mol of formula units: -908

=====

NdTmHg after structural relaxation. Source: Alexandria, functional PBE-GGA.

a b c (Å): 3.886 5.128 5.128
angles (deg): 120.00 90.00 90.00
Fractional coordinates of all 3 atoms:
Tm 0.170 0.000 0.000
Nd 0.668 0.667 0.333
Hg 0.162 0.333 0.667

## Properties
Space group: No. 156
DFT formation energy, meV per atom: -197

=====

no.,relative energy among the computed polymorphs (eV per atom)
1,0.680
2,0.207
3,0.104